# Fe2TeO2 | Alexandria | PBE+U | relaxed
# * space-group type: I4/mmm (139)
# * DOS at the Fermi energy: 2.544 states/eV/cell
# * polymorph energy (0 for the lowest one): 0.000 eV per atom
data_Fe2TeO2
_chemical_formula_sum 'Fe2 Te1 O2'
_cell_length_a 6.4779
_cell_length_b 6.4779
_cell_length_c 6.4779
_cell_angle_alpha 147.37
_cell_angle_beta 147.37
_cell_angle_gamma 46.81
_symmetry_space_group_name_H-M 'P 1'
_symmetry_Int_Tables_number 1
loop_
_symmetry_equiv_pos_as_xyz
'x,y,z'
loop_
_atom_site_label
_atom_site_type_symbol
_atom_site_fract_x
_atom_site_fract_y
_atom_site_fract_z
Fe1 Fe 0.1736 0.1736 0.0000
Fe2 Fe 0.8264 0.8264 0.0000
Te1 Te 0.5000 0.5000 0.0000
O1 O 0.2500 0.7500 0.5000
O2 O 0.7500 0.2500 0.5000